# UTl2CrO6

A relaxed structure of UTl2CrO6 (PBE with a Hubbard U, Alexandria via LeMat-Bulk).

* total DFT energy (no corrections): -7.231 eV/atom

Cell and atoms, written as POSCAR:
```
UTl2CrO6
1.0
-2.920 2.920 4.123
2.920 -2.920 4.123
2.920 2.920 -4.123
U Tl Cr O
1 2 1 6
Cartesian
0.000 0.000 0.000
2.920 0.000 2.062
0.000 2.920 2.062
0.000 0.000 4.123
0.000 0.000 2.096
1.486 1.486 0.000
1.434 -1.434 4.123
-1.434 1.434 4.123
0.000 0.000 6.150
1.434 1.434 4.123
```

***

# Cs2FeH12S2O14

A relaxed structure of Cs2FeH12S2O14 (PBE with a Hubbard U, Alexandria via LeMat-Bulk).

* total DFT energy (no corrections): -5.382 eV/atom

Cell and atoms, written as POSCAR:
```
Cs2FeH12S2O14
1.0
6.487 0.000 0.000
0.000 12.969 0.000
-2.539 0.000 9.060
Cs Fe H S O
4 2 24 4 28
Cartesian
0.041 1.879 3.366
-1.229 4.606 7.896
5.177 8.363 1.164
3.907 11.091 5.694
3.244 0.000 0.000
1.974 6.485 4.530
-0.872 1.301 7.120
0.398 5.184 2.590
-0.411 7.368 5.509
0.859 12.086 0.979
0.021 8.334 4.334
-1.248 11.120 8.864
0.682 1.679 6.879
1.951 4.805 2.349
2.155 7.772 1.993
0.886 11.682 6.523
2.229 8.891 3.112
0.959 10.563 7.642
2.989 2.407 1.418
1.719 4.078 5.947
3.062 1.287 2.537
1.793 5.198 7.067
1.997 8.164 6.711
3.266 11.290 2.181
5.196 1.849 0.196
3.927 4.635 4.726
3.089 0.884 8.080
4.359 5.601 3.551
3.550 7.786 6.470
4.820 11.668 1.940
-0.720 8.392 8.124
0.550 11.062 3.594
3.398 1.907 5.466
4.668 4.578 0.936
-1.255 7.568 6.984
0.015 11.886 2.454
-1.605 9.581 8.294
-0.335 9.873 3.764
0.083 7.387 4.644
1.353 12.067 0.114
1.809 7.555 0.293
0.540 11.900 4.823
-0.001 1.478 7.566
1.269 5.006 3.036
0.676 8.843 7.806
1.946 10.611 3.276
2.788 1.447 1.595
1.519 5.038 6.124
2.429 7.932 2.935
1.160 11.522 7.465
2.002 2.358 5.784
3.272 4.127 1.254
2.679 7.963 6.023
3.949 11.491 1.493
3.408 1.070 4.237
2.139 5.415 8.767
2.595 0.902 8.946
3.865 5.582 4.416
4.283 3.096 5.296
5.553 3.388 0.766
3.933 1.083 6.606
5.203 5.402 2.076
```